No. 1
# BaNiTe

A geometry-optimized BaNiTe structure (PBE, Alexandria).

Lattice parameters (Å, degrees): 4.365 5.762 7.242 99.82 90.05 90.00
Space group P-1 (No. 2)
Asymmetric unit:
Ba1 0.250 0.199 0.263 (multiplicity 2)
Ni1 0.250 0.604 0.058 (multiplicity 2)
Te1 0.249 0.284 0.761 (multiplicity 2)

Results
formation energy without anion corrections	-0.811	eV per atom

No. 2
# FePd2Au

A geometry-optimized FePd2Au structure (PBE, Alexandria).

Lattice parameters (Å, degrees): 7.087 7.087 5.370 90.00 90.00 90.00
Space group I-42d (No. 122)
Asymmetric unit:
Fe1 0.000 0.000 0.000 (multiplicity 4)
Pd1 0.219 0.250 0.125 (multiplicity 8)
Au1 0.000 0.000 0.500 (multiplicity 4)

Results
ΔE_f	0.241	eV/atom

No. 3
# TbMgGa2Au2

A geometry-optimized TbMgGa2Au2 structure (PBE, Alexandria).

Lattice parameters (Å, degrees): 4.4980 4.4980 6.7575 90.00 90.00 120.00
Space group P-3m1 (No. 164)
Asymmetric unit:
Tb1 0.0000 0.0000 0.0000 (multiplicity 1)
Mg1 0.0000 0.0000 0.5000 (multiplicity 1)
Ga1 0.3333 0.6667 0.7347 (multiplicity 2)
Au1 0.3333 0.6667 0.2762 (multiplicity 2)

Results
ΔE_f	-0.624	eV/atom

No. 4
# Na2P2Pd5Pb

A geometry-optimized Na2P2Pd5Pb structure (PBE, Alexandria).

Lattice parameters (Å, degrees): 10.460 10.460 3.312 90.00 90.00 90.00
Space group P4/mbm (No. 127)
Asymmetric unit:
Na1 0.175 0.325 0.000 (multiplicity 4)
P1 0.123 0.623 0.000 (multiplicity 4)
Pd1 0.000 0.500 0.500 (multiplicity 2)
Pd2 0.072 0.778 0.500 (multiplicity 8)
Pb1 0.000 0.000 0.000 (multiplicity 2)

Results
ΔE_f	-0.407	eV/atom

No. 5
# MgCo2TcC

A geometry-optimized MgCo2TcC structure (PBE, Alexandria).

Lattice parameters (Å, degrees): 3.861 3.861 4.040 90.00 90.00 90.00
Space group P4/mmm (No. 123)
Asymmetric unit:
Mg1 0.000 0.000 0.000 (multiplicity 1)
Co1 0.000 0.500 0.500 (multiplicity 2)
Tc1 0.500 0.500 0.000 (multiplicity 1)
C1 0.500 0.500 0.500 (multiplicity 1)

Results
ΔE_f	0.046	eV/atom

No. 6
# Cs2ZnSiI6

A geometry-optimized Cs2ZnSiI6 structure (PBE, Alexandria).

Lattice parameters (Å, degrees): 11.695 11.695 11.695 90.00 90.00 90.00
Space group Fm-3m (No. 225)
Asymmetric unit:
Cs1 0.250 0.250 0.250 (multiplicity 8)
Zn1 0.000 0.000 0.000 (multiplicity 4)
Si1 0.000 0.000 0.500 (multiplicity 4)
I1 0.000 0.000 0.249 (multiplicity 24)

Results
formation energy without anion corrections	-0.752	eV per atom

No. 7
# VTeS2N

A geometry-optimized VTeS2N structure (PBE, Alexandria).

Lattice parameters (Å, degrees): 5.069 5.069 3.895 90.00 90.00 90.00
Space group P4/mmm (No. 123)
Asymmetric unit:
V1 0.000 0.000 0.000 (multiplicity 1)
Te1 0.500 0.500 0.500 (multiplicity 1)
S1 0.000 0.500 0.500 (multiplicity 2)
N1 0.500 0.500 0.000 (multiplicity 1)

Results
relative energy among the computed polymorphs	1164	meV per atom
formation energy without anion corrections	1.274	eV per atom

No. 8
# Ac2ScS4

A geometry-optimized Ac2ScS4 structure (PBE, Alexandria).

Lattice parameters (Å, degrees): 7.145 6.667 8.286 90.00 107.17 90.00
Space group P2_1/m (No. 11)
Asymmetric unit:
Ac1 0.224 0.250 0.059 (multiplicity 2)
Ac2 0.248 0.250 0.558 (multiplicity 2)
Sc1 0.251 0.750 0.811 (multiplicity 2)
S1 0.003 0.506 0.256 (multiplicity 4)
S2 0.442 0.750 0.614 (multiplicity 2)
S3 0.444 0.750 0.106 (multiplicity 2)

Results
formation energy without anion corrections	-1.903	eV per atom

No. 9
# K6ZrF12

A geometry-optimized K6ZrF12 structure (PBE, Alexandria).

Lattice parameters (Å, degrees): 11.2686 11.2686 10.5967 90.00 90.00 120.00
Space group R-3 (No. 148, hexagonal axes)
Asymmetric unit:
K1 0.0686 0.2609 0.1507 (multiplicity 18)
Zr1 0.0000 0.0000 0.5000 (multiplicity 3)
F1 0.0481 0.1703 0.3941 (multiplicity 18)
F2 0.0668 0.2497 0.8959 (multiplicity 18)

Results
formation energy without anion corrections	-2.761	eV per atom

No. 10
# SiTcNO2

A geometry-optimized SiTcNO2 structure (PBE, Alexandria).

Lattice parameters (Å, degrees): 3.891 3.891 3.913 90.00 90.00 90.00
Space group P4/mmm (No. 123)
Asymmetric unit:
Si1 0.000 0.000 0.000 (multiplicity 1)
Tc1 0.500 0.500 0.500 (multiplicity 1)
N1 0.500 0.500 0.000 (multiplicity 1)
O1 0.000 0.500 0.500 (multiplicity 2)

Results
formation energy without anion corrections	-0.134	eV per atom

No. 11
# Ba3Tl2Hg

A geometry-optimized Ba3Tl2Hg structure (PBE, Alexandria).

Lattice parameters (Å, degrees): 4.258 4.258 12.888 90.00 90.00 90.00
Space group P4/mmm (No. 123)
Asymmetric unit:
Ba1 0.000 0.000 0.000 (multiplicity 1)
Ba2 0.000 0.000 0.337 (multiplicity 2)
Tl1 0.500 0.500 0.166 (multiplicity 2)
Hg1 0.500 0.500 0.500 (multiplicity 1)

Results
ΔE_f	-0.447	eV/atom

No. 12
# Ta2As2Rh

A geometry-optimized Ta2As2Rh structure (PBE, Alexandria).

Lattice parameters (Å, degrees): 7.037 7.037 3.355 90.00 90.00 90.00
Space group P4/mbm (No. 127)
Asymmetric unit:
Ta1 0.144 0.356 0.000 (multiplicity 4)
As1 0.154 0.654 0.500 (multiplicity 4)
Rh1 0.000 0.000 0.500 (multiplicity 2)

Results
ΔE_f	-0.214	eV/atom